Entry 1:
Below is CdSn2Ru2 after structural relaxation, with properties calculated at the PBE level.

a b c (Å): 7.6313 7.6313 3.2332
angles (deg): 90.00 90.00 90.00
Closest atoms and distances in Å follow each position.
Fractional positions:
Cd 0.0000 0.0000 0.0000  4 Ru 2.93, 2 Cd 3.23
Cd 0.5000 0.5000 0.0000  4 Ru 2.93, 2 Cd 3.23
Sn 0.1520 0.3480 0.5000  6 Ru 2.72-2.79
Sn 0.3480 0.8480 0.5000  6 Ru 2.72-2.79
Sn 0.6520 0.1520 0.5000  6 Ru 2.72-2.79
Sn 0.8480 0.6520 0.5000  6 Ru 2.72-2.79
Ru 0.1451 0.6451 0.0000  6 Sn 2.72-2.79, 2 Cd 2.93
Ru 0.3549 0.1451 0.0000  6 Sn 2.72-2.79, 2 Cd 2.93
Ru 0.6451 0.8549 0.0000  6 Sn 2.72-2.79, 2 Cd 2.93
Ru 0.8549 0.3549 0.0000  6 Sn 2.72-2.79, 2 Cd 2.93

## Properties
Calculated total energy (eV for the cell shown): -55.5
Calculated formation energy (meV per atom): -56

---

Entry 2:
Below is CaTlRu2 after structural relaxation, with properties calculated at the PBE level.

a b c (Å): 3.1652 4.6700 5.5488
angles (deg): 90.00 95.42 90.00
Closest atoms and distances in Å follow each position.
Fractional positions:
Ca 0.0000 0.0000 0.0000  8 Ru 3.00-3.10, 4 Tl 3.06-3.32, 2 Ca 3.17
Tl 0.5000 0.0000 0.5000  4 Ru 2.85, 2 Ca 3.06, 2 Tl 3.17
Ru 0.4347 0.5000 0.7890  1 Ru 2.34
Ru 0.5653 0.5000 0.2110  1 Ru 2.34

## Properties
Calculated total energy (eV for the cell shown): -21.0
Calculated formation energy (meV per atom): 480

---

Entry 3:
Below is TlTe3 after structural relaxation, with properties calculated at the PBE level.

a b c (Å): 4.1385 4.3731 7.5214
angles (deg): 90.00 90.00 90.00
Closest atoms and distances in Å follow each position.
Fractional positions:
Tl 0.0000 0.0000 0.0000  6 Te 3.30-3.41
Te 0.0000 0.5000 0.4943  6 Te 3.15-3.20
Te 0.5000 0.0000 0.6393  4 Te 3.20, 2 Tl 3.41
Te 0.5000 0.5000 0.1792  2 Te 3.15, 4 Tl 3.30

## Properties
Calculated total energy (eV for the cell shown): -11.7
Uncorrected formation energy (eV per formula unit): 0.11

---

These records have DOS at the Fermi energy values of 0.5512; 0.7351; 0.5021 states/eV/atom, in the order they appear.
These records have calculated volume values of 188.3; 81.7; 136.1 Å³ per cell, in the order they appear.
These records have spin magnetization values of 0.000; 0.000; 0.000 μB per formula unit, in the order they appear.